## a
DFT (GGA-PBE) results for a relaxed NdHo3In3 crystal.

## Properties
crystal system	cubic
density of states at the Fermi level	26.181	states/eV per cell

CIF file:
```
data_NdHo3In3
_space_group_name_H-M_alt 'P 21 3'
_space_group_IT_number 198
_space_group_name_Hall 'P 2ac 2ab 3'
_cell_length_a 9.343
_cell_length_b 9.343
_cell_length_c 9.343
_cell_angle_alpha 90.00
_cell_angle_beta 90.00
_cell_angle_gamma 90.00
loop_
_atom_site_label
_atom_site_fract_x
_atom_site_fract_y
_atom_site_fract_z
Nd1 0.050 0.450 0.550
Ho1 0.116 0.616 0.884
Ho2 0.169 0.169 0.169
Ho3 0.199 0.801 0.301
In1 0.005 0.799 0.600
```

=====

## b
DFT (GGA-PBE) results for a relaxed NdHo3In3 crystal.

## Properties
crystal system	hexagonal
density of states at the Fermi level	11.920	states/eV per cell

CIF file:
```
data_NdHo3In3
_space_group_name_H-M_alt 'P 63/m'
_space_group_IT_number 176
_space_group_name_Hall '-P 6c'
_cell_length_a 9.4176
_cell_length_b 9.4176
_cell_length_c 5.1657
_cell_angle_alpha 90.00
_cell_angle_beta 90.00
_cell_angle_gamma 120.00
loop_
_atom_site_label
_atom_site_fract_x
_atom_site_fract_y
_atom_site_fract_z
Nd1 0.3333 0.6667 0.2500
Ho1 0.0000 0.2313 0.2500
In1 0.0694 0.4517 0.7500
```

=====

b is preferred energetically. Next in line: 0.042 eV/atom higher.